CaCd2Tc | PBE-GGA | relaxed

The structure in POSCAR format:
```
CaCd2Tc
1.0
0.0000 3.4823 3.4823
3.4823 0.0000 3.4823
3.4823 3.4823 0.0000
Ca Cd Tc
1 2 1
direct
0.0000 0.0000 0.0000 Ca
0.5000 0.5000 0.5000 Cd
0.7500 0.7500 0.7500 Cd
0.2500 0.2500 0.2500 Tc
```

## Properties
- polymorph energy (0 for the lowest one) (kJ per mole of atoms) = 18.5
- space-group type = F-43m, No. 216


CaCd2Tc | PBE-GGA | relaxed

The structure in POSCAR format:
```
CaCd2Tc
1.0
-1.6889 2.5157 5.0093
1.6889 -2.5157 5.0093
1.6889 2.5157 -5.0093
Ca Cd Tc
1 2 1
direct
0.0000 0.0000 0.0000 Ca
0.2747 0.7747 0.5000 Cd
0.5270 0.5270 0.0000 Cd
0.7512 0.2512 0.5000 Tc
```

## Properties
- polymorph energy (0 for the lowest one) (kJ per mole of atoms) = 8.4
- space-group type = Imm2, No. 44


CaCd2Tc | PBE-GGA | relaxed

The structure in POSCAR format:
```
CaCd2Tc
1.0
3.0048 0.0000 0.0000
0.0000 3.0048 0.0000
0.0000 0.0000 9.3598
Ca Cd Tc
1 2 1
direct
0.0000 0.0000 0.0000 Ca
0.0000 0.0000 0.5386 Cd
0.5000 0.5000 0.2808 Cd
0.5000 0.5000 0.7550 Tc
```

## Properties
- polymorph energy (0 for the lowest one) (kJ per mole of atoms) = 7.4
- space-group type = P4mm, No. 99


CaCd2Tc | PBE-GGA | relaxed

The structure in POSCAR format:
```
CaCd2Tc
1.0
3.0426 -4.3971 0.0000
3.0426 4.3971 0.0000
0.0000 0.0000 3.0434
Ca Cd Tc
1 2 1
direct
0.0000 0.0000 0.0000 Ca
0.0000 0.5000 0.5000 Cd
0.5000 0.0000 0.5000 Cd
0.5000 0.5000 0.0000 Tc
```

## Properties
- polymorph energy (0 for the lowest one) (kJ per mole of atoms) = 8.5
- space-group type = Cmmm, No. 65


CaCd2Tc | PBE-GGA | relaxed

The structure in POSCAR format:
```
CaCd2Tc
1.0
2.9858 0.0000 0.0000
0.0000 4.4731 0.0000
0.0000 0.0000 6.2686
Ca Cd Tc
1 2 1
direct
0.0000 0.0000 0.0000 Ca
0.0000 0.0000 0.5304 Cd
0.5000 0.5000 0.2797 Cd
0.5000 0.5000 0.7500 Tc
```

## Properties
- polymorph energy (0 for the lowest one) (kJ per mole of atoms) = 10.4
- space-group type = Pmm2, No. 25


CaCdTc | PBE-GGA | relaxed

The structure in POSCAR format:
```
CaCdTc
1.0
0.0000 2.1007 7.0522
2.0902 0.0000 7.0522
2.0902 2.1007 0.0000
Ca Cd Tc
1 1 1
direct
0.0000 0.0000 0.0000 Ca
0.3108 0.3108 0.6892 Cd
0.6631 0.6631 0.3369 Tc
```

## Properties
- polymorph energy (0 for the lowest one) (kJ per mole of atoms) = 0.0
- space-group type = Fmm2, No. 42


CaCdTc4 | PBE-GGA | relaxed

The structure in POSCAR format:
```
CaCdTc4
1.0
0.0000 3.7595 3.7595
3.7595 0.0000 3.7595
3.7595 3.7595 0.0000
Ca Cd Tc
1 1 4
direct
0.0000 0.0000 0.0000 Ca
0.7500 0.7500 0.7500 Cd
0.3755 0.3755 0.3755 Tc
0.3755 0.3755 0.8736 Tc
0.3755 0.8736 0.3755 Tc
0.8736 0.3755 0.3755 Tc
```

## Properties
- space-group type = F-43m, No. 216


CaCdTc | PBE-GGA | relaxed

The structure in POSCAR format:
```
CaCdTc
1.0
0.0000 3.3991 3.3991
3.3991 0.0000 3.3991
3.3991 3.3991 0.0000
Ca Cd Tc
1 1 1
direct
0.0000 0.0000 0.0000 Ca
0.5000 0.5000 0.5000 Cd
0.2500 0.2500 0.2500 Tc
```

## Properties
- polymorph energy (0 for the lowest one) (kJ per mole of atoms) = 33.3
- space-group type = F-43m, No. 216


CaCd2Tc | PBE-GGA | relaxed

The structure in POSCAR format:
```
CaCd2Tc
1.0
2.9950 0.0000 0.0000
0.0000 4.9419 0.0000
-0.4209 0.0000 5.5808
Ca Cd Tc
1 2 1
direct
0.0000 0.0000 0.0000 Ca
0.5338 0.0000 0.5205 Cd
0.5549 0.5000 0.2326 Cd
0.1697 0.5000 0.7130 Tc
```

## Properties
- polymorph energy (0 for the lowest one) (kJ per mole of atoms) = 9.0
- space-group type = Pm, No. 6


CaCdTc | PBE-GGA | relaxed

The structure in POSCAR format:
```
CaCdTc
1.0
0.0000 3.4533 3.4533
3.4533 0.0000 3.4533
3.4533 3.4533 0.0000
Ca Cd Tc
1 1 1
direct
0.0000 0.0000 0.0000 Ca
0.7500 0.7500 0.7500 Cd
0.2500 0.2500 0.2500 Tc
```

## Properties
- polymorph energy (0 for the lowest one) (kJ per mole of atoms) = 72.7
- space-group type = F-43m, No. 216


CaCd2Tc | PBE-GGA | relaxed

The structure in POSCAR format:
```
CaCd2Tc
1.0
-2.2414 2.2414 4.1945
2.2414 -2.2414 4.1945
2.2414 2.2414 -4.1945
Ca Cd Tc
1 2 1
direct
0.0000 0.0000 0.0000 Ca
0.2500 0.7500 0.5000 Cd
0.7500 0.2500 0.5000 Cd
0.5000 0.5000 0.0000 Tc
```

## Properties
- polymorph energy (0 for the lowest one) (kJ per mole of atoms) = 4.4
- space-group type = I4/mmm, No. 139


CaCd2Tc | PBE-GGA | relaxed

The structure in POSCAR format:
```
CaCd2Tc
1.0
0.0000 3.4846 3.4846
3.4846 0.0000 3.4846
3.4846 3.4846 0.0000
Ca Cd Tc
1 2 1
direct
0.0000 0.0000 0.0000 Ca
0.2500 0.2500 0.2500 Cd
0.7500 0.7500 0.7500 Cd
0.5000 0.5000 0.5000 Tc
```

## Properties
- polymorph energy (0 for the lowest one) (kJ per mole of atoms) = 5.4
- space-group type = Fm-3m, No. 225


CaCd2Tc | PBE-GGA | relaxed

The structure in POSCAR format:
```
CaCd2Tc
1.0
5.1408 -1.4479 0.0000
5.1408 1.4479 0.0000
-0.7062 0.0000 5.6018
Ca Cd Tc
1 2 1
direct
0.0000 0.0000 0.0000 Ca
0.2388 0.2388 0.7229 Cd
0.7612 0.7612 0.2771 Cd
0.5000 0.5000 0.5000 Tc
```

## Properties
- polymorph energy (0 for the lowest one) (kJ per mole of atoms) = 5.6
- space-group type = C2/m, No. 12


CaCd2Tc | PBE-GGA | relaxed

The structure in POSCAR format:
```
CaCd2Tc
1.0
-1.7070 2.4815 5.1681
1.7070 -2.4815 5.1681
1.7070 2.4815 -5.1681
Ca Cd Tc
1 2 1
direct
0.0000 0.0000 0.0000 Ca
0.2805 0.7805 0.5000 Cd
0.7195 0.2195 0.5000 Cd
0.5000 0.5000 0.0000 Tc
```

## Properties
- polymorph energy (0 for the lowest one) (kJ per mole of atoms) = 6.1
- space-group type = Immm, No. 71


Ca4CdTc | PBE-GGA | relaxed

The structure in POSCAR format:
```
Ca4CdTc
1.0
0.0000 4.5038 4.5038
4.5038 0.0000 4.5038
4.5038 4.5038 0.0000
Ca Cd Tc
4 1 1
direct
0.3760 0.3760 0.3760 Ca
0.3760 0.3760 0.8719 Ca
0.3760 0.8719 0.3760 Ca
0.8719 0.3760 0.3760 Ca
0.0000 0.0000 0.0000 Cd
0.7500 0.7500 0.7500 Tc
```

## Properties
- space-group type = F-43m, No. 216


For reference, energy of formation from the pure elements by record: 0.444 0.339 0.328 0.340 0.359 0.460 0.315 0.805 0.345 1.214 0.297 0.308 0.310 0.314 0.863 eV/atom.